Entry 1:
Here is crystalline NaAuN2F at its relaxed geometry from Alexandria. Energies are from GGA-PBE.

abc: 3.839 3.839 5.750
angles: 90.00 90.00 90.00
Sites, in units of the cell vectors:
Na: 0.000 0.000 0.000
Au: 0.500 0.500 0.500
N: 0.000 0.500 0.500
N: 0.500 0.000 0.500
F: 0.500 0.500 0.000

Crystal system: tetragonal
Excess energy over the best structure of this formula in the dataset (meV/atom): 0
Total magnetization (μB per cell): 0.90



Entry 2:
Here is crystalline RbHoGeSe3 at its relaxed geometry from Alexandria. Energies are from GGA-PBE.

abc: 8.918 4.065 11.277
angles: 90.00 110.43 90.00
Sites, in units of the cell vectors:
Rb: 0.234 0.250 0.277
Rb: 0.766 0.750 0.723
Ho: 0.364 0.750 0.845
Ho: 0.636 0.250 0.155
Ge: 0.127 0.250 0.561
Ge: 0.873 0.750 0.439
Se: 0.117 0.250 0.778
Se: 0.327 0.750 0.580
Se: 0.400 0.750 0.105
Se: 0.600 0.250 0.895
Se: 0.673 0.250 0.420
Se: 0.883 0.750 0.222

Crystal system: monoclinic
Total magnetization (μB per cell): 0.00



Entry 3:
Here is crystalline FePtSe2 at its relaxed geometry from Alexandria. Energies are from GGA-PBE.

abc: 6.615 6.615 6.615
angles: 130.53 130.53 72.56
Sites, in units of the cell vectors:
Fe: 0.000 0.000 0.000
Fe: 0.750 0.250 0.500
Pt: 0.250 0.750 0.500
Pt: 0.500 0.500 0.000
Se: 0.092 0.625 0.967
Se: 0.375 0.342 0.467
Se: 0.658 0.125 0.033
Se: 0.875 0.908 0.533

Crystal system: tetragonal
Excess energy over the best structure of this formula in the dataset (meV/atom): 192
Total magnetization (μB per cell): 0.00



Calculated values (eV/atom) of final energy for the records, taken in order: -3.9717; -4.6867; -5.3576.
Calculated values (meV/atom) of ΔE_f (raw) for the records, taken in order: 652; -1251; 11.